(1)
Ac4PtRh2: optimized geometry, PBE-GGA.

Its density of states at the Fermi level is 2.76 states/eV/f.u. As for the crystal system: monoclinic. The calculated total energy is -42.5 eV/f.u.

abc: 15.927 4.379 7.482
angles: 90.00 117.42 90.00
Space group C2/m (No. 12)
Asymmetric unit:
Ac1 0.132 0.000 0.476 (multiplicity 4)
Ac2 0.133 0.500 0.959 (multiplicity 4)
Pt1 0.000 0.500 0.500 (multiplicity 2)
Rh1 0.242 0.000 0.241 (multiplicity 4)

=====

(2)
Ac8Pt3Rh: optimized geometry, PBE-GGA.

Its density of states at the Fermi level is 10.82 states/eV/f.u. As for the crystal system: trigonal. The calculated total energy is -67.4 eV/f.u.

abc: 8.9161 8.9161 20.3722
angles: 90.00 90.00 120.00
Space group R-3m (No. 166, hexagonal axes)
Asymmetric unit:
Ac1 0.0000 0.0000 0.2448 (multiplicity 6)
Ac2 0.0073 0.5036 0.2450 (multiplicity 18)
Pt1 0.0000 0.5000 0.5000 (multiplicity 9)
Rh1 0.0000 0.0000 0.5000 (multiplicity 3)

=====

(3)
Ac6RuPtRh2: optimized geometry, PBE-GGA.

Its density of states at the Fermi level is 4.28 states/eV/f.u. As for the crystal system: triclinic. The calculated total energy is -60.6 eV/f.u.

abc: 7.472 7.483 8.124
angles: 90.08 117.36 119.94
Space group P1 (No. 1)
Asymmetric unit:
Ac1 0.000 0.000 0.000 (multiplicity 1)
Ac2 0.001 0.162 0.510 (multiplicity 1)
Ac3 0.332 0.671 0.001 (multiplicity 1)
Ac4 0.335 0.842 0.510 (multiplicity 1)
Ac5 0.660 0.332 0.000 (multiplicity 1)
Ac6 0.680 0.508 0.510 (multiplicity 1)
Ru1 0.164 0.917 0.749 (multiplicity 1)
Pt1 0.168 0.419 0.256 (multiplicity 1)
Rh1 0.837 0.254 0.759 (multiplicity 1)
Rh2 0.837 0.754 0.258 (multiplicity 1)

=====

(4)
Ac8RuPt2Rh: optimized geometry, PBE-GGA.

Its density of states at the Fermi level is 10.34 states/eV/f.u. As for the crystal system: monoclinic. The calculated total energy is -68.6 eV/f.u.

abc: 7.087 8.863 7.195
angles: 90.00 90.49 90.00
Space group P2/m (No. 10)
Asymmetric unit:
Ac1 0.223 0.247 0.330 (multiplicity 4)
Ac2 0.258 0.000 0.827 (multiplicity 2)
Ac3 0.260 0.500 0.830 (multiplicity 2)
Ru1 0.000 0.000 0.500 (multiplicity 1)
Pt1 0.500 0.250 0.000 (multiplicity 2)
Rh1 0.000 0.500 0.500 (multiplicity 1)

=====

(5)
Ac4PtRhS2: optimized geometry, PBE-GGA.

Its density of states at the Fermi level is 4.94 states/eV/f.u. As for the crystal system: monoclinic. The formation energy without anion corrections comes out at -1425.2 meV per atom.

abc: 7.400 4.280 7.969
angles: 90.00 108.15 90.00
Space group P2/m (No. 10)
Asymmetric unit:
Ac1 0.241 0.000 0.236 (multiplicity 2)
Ac2 0.251 0.500 0.764 (multiplicity 2)
Pt1 0.500 0.000 0.000 (multiplicity 1)
Rh1 0.000 0.500 0.000 (multiplicity 1)
S1 0.000 0.000 0.500 (multiplicity 1)
S2 0.500 0.500 0.500 (multiplicity 1)

=====

(6)
Ac6PtRh2S3: optimized geometry, PBE-GGA.

Its density of states at the Fermi level is 6.91 states/eV/f.u. As for the crystal system: monoclinic. The formation energy without anion corrections comes out at -1384.9 meV per atom.

abc: 7.398 12.817 7.946
angles: 90.00 108.11 90.00
Space group C2/m (No. 12)
Asymmetric unit:
Ac1 0.239 0.000 0.236 (multiplicity 4)
Ac2 0.248 0.330 0.235 (multiplicity 8)
Pt1 0.000 0.500 0.000 (multiplicity 2)
Rh1 0.000 0.166 0.000 (multiplicity 4)
S1 0.000 0.000 0.500 (multiplicity 2)
S2 0.000 0.333 0.500 (multiplicity 4)

=====

(7)
Ac8Pt3RhS4: optimized geometry, PBE-GGA.

Its density of states at the Fermi level is 8.71 states/eV/f.u. As for the crystal system: trigonal. The formation energy without anion corrections comes out at -1489.6 meV per atom.

abc: 8.5755 8.5755 22.7752
angles: 90.00 90.00 120.00
Space group R-3m (No. 166, hexagonal axes)
Asymmetric unit:
Ac1 0.0000 0.0000 0.2452 (multiplicity 6)
Ac2 0.0040 0.5020 0.2453 (multiplicity 18)
Pt1 0.0000 0.5000 0.5000 (multiplicity 9)
Rh1 0.0000 0.0000 0.5000 (multiplicity 3)
S1 0.0000 0.0000 0.0000 (multiplicity 3)
S2 0.0000 0.5000 0.0000 (multiplicity 9)

=====

(8)
Ac4Pt2RhS: optimized geometry, PBE-GGA.

Its density of states at the Fermi level is 3.77 states/eV/f.u. As for the crystal system: monoclinic. The formation energy without anion corrections comes out at -1224.1 meV per atom.

abc: 7.539 4.343 7.685
angles: 90.00 108.92 90.00
Space group P2/m (No. 10)
Asymmetric unit:
Ac1 0.247 0.000 0.244 (multiplicity 2)
Ac2 0.252 0.500 0.759 (multiplicity 2)
Pt1 0.500 0.000 0.000 (multiplicity 1)
Pt2 0.500 0.500 0.500 (multiplicity 1)
Rh1 0.000 0.500 0.000 (multiplicity 1)
S1 0.000 0.000 0.500 (multiplicity 1)

=====

> Number 8 is which compound?

Ac4Pt2RhS